[1]
# NdDy4Tl PBE-GGA relaxed
data_NdDy4Tl
_chemical_formula_sum 'Nd4 Dy16 Tl4'
_symmetry_space_group_name_H-M 'C 1 2/c 1'
_symmetry_Int_Tables_number 15
_cell_length_a 8.724
_cell_length_b 14.134
_cell_length_c 6.471
_cell_angle_alpha 90.00
_cell_angle_beta 108.77
_cell_angle_gamma 90.00
loop_
_symmetry_equiv_pos_as_xyz
'x,y,z'
'-x,-y,-z'
'-x,y,-z+1/2'
'x,-y,z+1/2'
'x+1/2,y+1/2,z'
'-x+1/2,-y+1/2,-z'
'-x+1/2,y+1/2,-z+1/2'
'x+1/2,-y+1/2,z+1/2'
loop_
_atom_site_label
_atom_site_type_symbol
_atom_site_fract_x
_atom_site_fract_y
_atom_site_fract_z
Nd1 Nd 0.000 0.089 0.250
Dy1 Dy 0.096 0.310 0.541
Dy2 Dy 0.216 0.126 0.880
Tl1 Tl 0.000 0.500 0.250
# ΔE_f in kJ/mol of atoms: -2
# Spin magnetization in μB per cell: 0.000
# E above lowest polymorph in meV per atom: 82

[2]
# Nd2DyTl3 PBE-GGA relaxed
data_Nd2DyTl3
_chemical_formula_sum 'Nd8 Dy4 Tl12'
_symmetry_space_group_name_H-M 'C m c m'
_symmetry_Int_Tables_number 63
_symmetry_space_group_name_Hall '-C 2c 2'
_cell_length_a 3.769
_cell_length_b 29.196
_cell_length_c 6.779
_cell_angle_alpha 90.00
_cell_angle_beta 90.00
_cell_angle_gamma 90.00
loop_
_atom_site_label
_atom_site_type_symbol
_atom_site_fract_x
_atom_site_fract_y
_atom_site_fract_z
Nd1 Nd 0.000 0.006 0.250
Nd2 Nd 0.000 0.154 0.750
Dy1 Dy 0.000 0.332 0.750
Tl1 Tl 0.000 0.254 0.250
Tl2 Tl 0.000 0.422 0.010
# ΔE_f in kJ/mol of atoms: -23
# Spin magnetization in μB per cell: 0.001
# E above lowest polymorph in meV per atom: 142

[3]
# NdDy2Tl PBE-GGA relaxed
data_NdDy2Tl
_chemical_formula_sum 'Nd3 Dy6 Tl3'
_symmetry_space_group_name_H-M 'R 3 m'
_symmetry_Int_Tables_number 160
_symmetry_space_group_name_Hall 'R 3 -2"'
_cell_length_a 3.6716
_cell_length_b 3.6716
_cell_length_c 32.4151
_cell_angle_alpha 90.00
_cell_angle_beta 90.00
_cell_angle_gamma 120.00
loop_
_atom_site_label
_atom_site_type_symbol
_atom_site_fract_x
_atom_site_fract_y
_atom_site_fract_z
Nd1 Nd 0.0000 0.0000 0.0000
Dy1 Dy 0.0000 0.0000 0.2427
Dy2 Dy 0.0000 0.0000 0.4235
Tl1 Tl 0.0000 0.0000 0.8333
# ΔE_f in kJ/mol of atoms: -10
# Spin magnetization in μB per cell: 0.001
# E above lowest polymorph in meV per atom: 82

[4]
# NdDy5Tl PBE-GGA relaxed
data_NdDy5Tl
_chemical_formula_sum 'Nd2 Dy10 Tl2'
_symmetry_space_group_name_H-M 'I m m 2'
_symmetry_Int_Tables_number 44
_cell_length_a 7.953
_cell_length_b 11.505
_cell_length_c 6.256
_cell_angle_alpha 90.00
_cell_angle_beta 90.00
_cell_angle_gamma 90.00
loop_
_symmetry_equiv_pos_as_xyz
'x,y,z'
'-x,-y,z'
'-x,y,z'
'x,-y,z'
'x+1/2,y+1/2,z+1/2'
'-x+1/2,-y+1/2,z+1/2'
'-x+1/2,y+1/2,z+1/2'
'x+1/2,-y+1/2,z+1/2'
loop_
_atom_site_label
_atom_site_type_symbol
_atom_site_fract_x
_atom_site_fract_y
_atom_site_fract_z
Nd1 Nd 0.000 0.000 0.000
Dy1 Dy 0.000 0.254 0.584
Dy2 Dy 0.000 0.500 0.287
Dy3 Dy 0.187 0.000 0.500
Tl1 Tl 0.000 0.500 0.759
# ΔE_f in kJ/mol of atoms: 67
# Spin magnetization in μB per cell: 0.000

[5]
# Nd5Dy12Tl2 PBE-GGA relaxed
data_Nd5Dy12Tl2
_chemical_formula_sum 'Nd10 Dy24 Tl4'
_symmetry_space_group_name_H-M 'C 1 2/m 1'
_symmetry_Int_Tables_number 12
_cell_length_a 15.489
_cell_length_b 9.390
_cell_length_c 8.402
_cell_angle_alpha 90.00
_cell_angle_beta 92.34
_cell_angle_gamma 90.00
loop_
_symmetry_equiv_pos_as_xyz
'x,y,z'
'-x,-y,-z'
'-x,y,-z'
'x,-y,z'
'x+1/2,y+1/2,z'
'-x+1/2,-y+1/2,-z'
'-x+1/2,y+1/2,-z'
'x+1/2,-y+1/2,z'
loop_
_atom_site_label
_atom_site_type_symbol
_atom_site_fract_x
_atom_site_fract_y
_atom_site_fract_z
Nd1 Nd 0.000 0.000 0.000
Nd2 Nd 0.192 0.500 0.507
Nd3 Nd 0.234 0.000 0.080
Dy1 Dy 0.053 0.500 0.822
Dy2 Dy 0.080 0.000 0.382
Dy3 Dy 0.126 0.307 0.164
Dy4 Dy 0.146 0.184 0.736
Tl1 Tl 0.000 0.314 0.500
# ΔE_f in kJ/mol of atoms: 1
# Spin magnetization in μB per cell: 0.000

[6]
# NdDy8Tl2 PBE-GGA relaxed
data_NdDy8Tl2
_chemical_formula_sum 'Nd2 Dy16 Tl4'
_symmetry_space_group_name_H-M 'C 1 2/m 1'
_symmetry_Int_Tables_number 12
_cell_length_a 15.847
_cell_length_b 6.772
_cell_length_c 6.498
_cell_angle_alpha 90.00
_cell_angle_beta 99.29
_cell_angle_gamma 90.00
loop_
_symmetry_equiv_pos_as_xyz
'x,y,z'
'-x,-y,-z'
'-x,y,-z'
'x,-y,z'
'x+1/2,y+1/2,z'
'-x+1/2,-y+1/2,-z'
'-x+1/2,y+1/2,-z'
'x+1/2,-y+1/2,z'
loop_
_atom_site_label
_atom_site_type_symbol
_atom_site_fract_x
_atom_site_fract_y
_atom_site_fract_z
Nd1 Nd 0.000 0.000 0.000
Dy1 Dy 0.085 0.500 0.897
Dy2 Dy 0.098 0.260 0.412
Dy3 Dy 0.214 0.000 0.824
Tl1 Tl 0.248 0.000 0.312
# ΔE_f in kJ/mol of atoms: -1
# Spin magnetization in μB per cell: 0.000

[7]
# NdDy2Tl PBE-GGA relaxed
data_NdDy2Tl
_chemical_formula_sum 'Nd4 Dy8 Tl4'
_symmetry_space_group_name_H-M 'C m c m'
_symmetry_Int_Tables_number 63
_symmetry_space_group_name_Hall '-C 2c 2'
_cell_length_a 4.609
_cell_length_b 12.606
_cell_length_c 8.798
_cell_angle_alpha 90.00
_cell_angle_beta 90.00
_cell_angle_gamma 90.00
loop_
_atom_site_label
_atom_site_type_symbol
_atom_site_fract_x
_atom_site_fract_y
_atom_site_fract_z
Nd1 Nd 0.000 0.058 0.250
Dy1 Dy 0.000 0.365 0.051
Tl1 Tl 0.000 0.234 0.750
# ΔE_f in kJ/mol of atoms: -10
# Spin magnetization in μB per cell: 0.000
# E above lowest polymorph in meV per atom: 85

[8]
# Nd8Dy2Tl PBE-GGA relaxed
data_Nd8Dy2Tl
_chemical_formula_sum 'Nd16 Dy4 Tl2'
_symmetry_space_group_name_H-M 'I m m m'
_symmetry_Int_Tables_number 71
_symmetry_space_group_name_Hall '-I 2 2'
_cell_length_a 5.621
_cell_length_b 7.708
_cell_length_c 17.603
_cell_angle_alpha 90.00
_cell_angle_beta 90.00
_cell_angle_gamma 90.00
loop_
_atom_site_label
_atom_site_type_symbol
_atom_site_fract_x
_atom_site_fract_y
_atom_site_fract_z
Nd1 Nd 0.000 0.000 0.180
Nd2 Nd 0.000 0.227 0.363
Nd3 Nd 0.000 0.261 0.000
Dy1 Dy 0.000 0.500 0.192
Tl1 Tl 0.000 0.500 0.500
# ΔE_f in kJ/mol of atoms: 2
# Spin magnetization in μB per cell: 0.000
# E above lowest polymorph in meV per atom: 65